# 1
Density functional theory data (PBE) for an optimized crystal structure of Cu2PtRh.

Values from the calculation:
Polymorph energy (0 for the lowest one) ... 0.096 eV/atom
M_tot ... 0.908 μB/f.u.
Final energy ... -5.37 eV per atom

Lattice parameters (Å, degrees): 4.3192 4.3192 2.9090 90.00 90.00 90.00
Closest atoms and distances in Å follow each position.
Positions (direct):
Cu  0.0000  0.0000  0.0000  4 Pt 2.60, 4 Rh 2.60, 2 Cu 2.91
Cu  0.5000  0.5000  0.0000  4 Rh 2.60, 4 Pt 2.60, 2 Cu 2.91
Pt  0.5000  0.0000  0.5000  8 Cu 2.60, 2 Pt 2.91
Rh  0.0000  0.5000  0.5000  8 Cu 2.60, 2 Rh 2.91

---

# 2
Density functional theory data (PBE) for an optimized crystal structure of CuPtRh2.

Values from the calculation:
Polymorph energy (0 for the lowest one) ... 0.069 eV/atom
M_tot ... 0.000 μB/f.u.
Final energy ... -6.18 eV per atom

Lattice parameters (Å, degrees): 2.7549 3.8013 5.4108 90.00 90.00 90.00
Closest atoms and distances in Å follow each position.
Positions (direct):
Cu  0.5000  0.5000  0.2500  8 Rh 2.69, 2 Pt 2.71, 2 Cu 2.75
Pt  0.5000  0.5000  0.7500  2 Cu 2.71, 8 Rh 2.73, 2 Pt 2.75
Rh  0.0000  0.0000  0.0066  4 Rh 2.63-2.78, 4 Cu 2.69, 4 Pt 2.73
Rh  0.0000  0.0000  0.4934  4 Rh 2.63-2.78, 4 Cu 2.69, 4 Pt 2.73

---

# 3
Density functional theory data (PBE) for an optimized crystal structure of Cu4PtRh.

Values from the calculation:
Polymorph energy (0 for the lowest one) ... 0.000 eV/atom
M_tot ... 0.696 μB/f.u.
Final energy ... -4.98 eV per atom

Lattice parameters (Å, degrees): 2.7812 2.7812 10.1202 89.99 89.99 90.00
Closest atoms and distances in Å follow each position.
Positions (direct):
Cu  0.5000  0.5000  0.1704  8 Cu 2.51-2.78, 4 Rh 2.62
Cu  0.5000  0.5000  0.8296  8 Cu 2.51-2.78, 4 Rh 2.62
Cu  0.0000  0.0000  0.6748  8 Cu 2.51-2.78, 4 Pt 2.65
Cu  0.0000  0.0000  0.3252  8 Cu 2.51-2.78, 4 Pt 2.65
Pt  0.5000  0.5000  0.5000  8 Cu 2.65, 4 Pt 2.78
Rh  0.0000  0.0000  0.0000  8 Cu 2.62, 4 Rh 2.78

---

# 4
Density functional theory data (PBE) for an optimized crystal structure of CuPt4Rh2.

Values from the calculation:
Polymorph energy (0 for the lowest one) ... 0.597 eV/atom
M_tot ... 0.000 μB/f.u.
Final energy ... -5.20 eV per atom

Lattice parameters (Å, degrees): 4.5883 4.5883 7.0274 109.05 109.05 90.00
Closest atoms and distances in Å follow each position.
Positions (direct):
Cu  0.0000  0.0000  0.0000  6 Pt 2.29-2.43
Pt  0.8048  0.8048  0.6096  1 Cu 2.43, 1 Rh 2.45
Pt  0.1952  0.1952  0.3904  1 Cu 2.43, 1 Rh 2.45
Pt  0.0000  0.5000  0.0000  2 Cu 2.29
Pt  0.5000  0.0000  0.0000  2 Cu 2.29
Rh  0.6084  0.6084  0.2168  5 Pt 2.45-2.66, 1 Rh 2.70
Rh  0.3916  0.3916  0.7832  5 Pt 2.45-2.66, 1 Rh 2.70

---

# 5
Density functional theory data (PBE) for an optimized crystal structure of CuPt8Rh6.

Values from the calculation:
M_tot ... 0.004 μB/f.u.
Final energy ... -6.26 eV per atom

Lattice parameters (Å, degrees): 2.7217 10.0827 10.0827 120.00 90.00 90.00
Closest atoms and distances in Å follow each position.
Positions (direct):
Cu  0.5000  0.0000  0.0000  6 Pt 2.61, 2 Cu 2.72
Pt  0.7587  0.7213  0.9212  1 Cu 2.61, 3 Rh 2.63-2.72, 6 Pt 2.72-2.88
Pt  0.7587  0.0788  0.8001  1 Cu 2.61, 3 Rh 2.63-2.72, 6 Pt 2.72-2.88
Pt  0.7587  0.1999  0.2787  1 Cu 2.61, 3 Rh 2.63-2.72, 6 Pt 2.72-2.88
Pt  0.2413  0.2787  0.0788  1 Cu 2.61, 3 Rh 2.63-2.72, 6 Pt 2.72-2.88
Pt  0.2413  0.9212  0.1999  1 Cu 2.61, 3 Rh 2.63-2.72, 6 Pt 2.72-2.88
Pt  0.2413  0.8001  0.7213  1 Cu 2.61, 3 Rh 2.63-2.72, 6 Pt 2.72-2.88
Pt  0.7504  0.6667  0.3333  6 Rh 2.66, 2 Pt 2.72
Pt  0.2496  0.3333  0.6667  6 Rh 2.66, 2 Pt 2.72
Rh  0.7480  0.5348  0.6232  4 Rh 2.60-2.72, 5 Pt 2.63-2.72
Rh  0.7480  0.3768  0.9117  4 Rh 2.60-2.72, 5 Pt 2.63-2.72
Rh  0.7480  0.0883  0.4652  4 Rh 2.60-2.72, 5 Pt 2.63-2.72
Rh  0.2520  0.4652  0.3768  4 Rh 2.60-2.72, 5 Pt 2.63-2.72
Rh  0.2520  0.6232  0.0883  4 Rh 2.60-2.72, 5 Pt 2.63-2.72
Rh  0.2520  0.9117  0.5348  4 Rh 2.60-2.72, 5 Pt 2.63-2.72

---

# 6
Density functional theory data (PBE) for an optimized crystal structure of Cu8PtRh2.

Values from the calculation:
M_tot ... 0.000 μB/f.u.
Final energy ... -4.80 eV per atom

Lattice parameters (Å, degrees): 2.6796 6.2803 9.3275 68.12 81.74 90.00
Closest atoms and distances in Å follow each position.
Positions (direct):
Rh  0.2919  0.2026  0.3852  8 Cu 2.58-2.75, 4 Rh 2.68-2.78
Rh  0.7074  0.7979  0.5542  8 Cu 2.58-2.75, 4 Rh 2.68-2.78
Pt  0.9994  0.0003  0.9697  8 Cu 2.52-2.69, 2 Pt 2.68
Cu  0.9054  0.5526  0.1579  8 Cu 2.53-2.68, 1 Pt 2.69, 2 Rh 2.75
Cu  0.1384  0.0175  0.6921  6 Cu 2.44-2.68, 1 Pt 2.52, 3 Rh 2.58-2.63
Cu  0.3025  0.6348  0.3636  8 Cu 2.44-2.68, 3 Rh 2.65-2.70
Cu  0.4586  0.2972  0.0513  9 Cu 2.43-2.68, 2 Pt 2.63
Cu  0.6964  0.3657  0.5758  8 Cu 2.44-2.68, 3 Rh 2.65-2.70
Cu  0.8608  0.9830  0.2472  6 Cu 2.44-2.68, 1 Pt 2.52, 3 Rh 2.58-2.63
Cu  0.0936  0.4479  0.7815  8 Cu 2.53-2.68, 1 Pt 2.69, 2 Rh 2.75
Cu  0.5402  0.7034  0.8881  9 Cu 2.43-2.68, 2 Pt 2.63

---

# 7
Density functional theory data (PBE) for an optimized crystal structure of Cu2Pt7Rh2.

Values from the calculation:
Polymorph energy (0 for the lowest one) ... 0.044 eV/atom
M_tot ... 0.003 μB/f.u.
Final energy ... -5.75 eV per atom

Lattice parameters (Å, degrees): 4.9385 6.0471 6.0471 79.32 98.00 98.00
Closest atoms and distances in Å follow each position.
Positions (direct):
Cu  0.2524  0.2376  0.2376  6 Pt 2.51-2.81, 2 Rh 2.71
Cu  0.7476  0.7624  0.7624  6 Pt 2.51-2.81, 2 Rh 2.71
Pt  0.7467  0.0561  0.4108  2 Cu 2.51-2.81, 5 Pt 2.67-2.75, 2 Rh 2.70-2.80
Pt  0.2533  0.5892  0.9439  2 Cu 2.51-2.81, 5 Pt 2.67-2.75, 2 Rh 2.70-2.80
Pt  0.2533  0.9439  0.5892  2 Cu 2.51-2.81, 5 Pt 2.67-2.75, 2 Rh 2.70-2.80
Pt  0.7467  0.4108  0.0561  2 Cu 2.51-2.81, 5 Pt 2.67-2.75, 2 Rh 2.70-2.80
Pt  0.5000  0.0000  0.0000  4 Pt 2.67, 2 Cu 2.71, 4 Rh 2.83
Pt  0.2599  0.5189  0.5189  4 Pt 2.46-2.69, 1 Cu 2.61
Pt  0.7401  0.4811  0.4811  4 Pt 2.46-2.69, 1 Cu 2.61
Rh  0.0000  0.1778  0.8222  8 Pt 2.70-2.83, 2 Cu 2.71, 1 Rh 2.74
Rh  0.0000  0.8222  0.1778  8 Pt 2.70-2.83, 2 Cu 2.71, 1 Rh 2.74

---

# 8
Density functional theory data (PBE) for an optimized crystal structure of Cu2PtRh.

Values from the calculation:
Polymorph energy (0 for the lowest one) ... 0.064 eV/atom
M_tot ... 1.069 μB/f.u.
Final energy ... -5.40 eV per atom

Lattice parameters (Å, degrees): 8.7530 8.7530 8.7530 17.84 17.84 17.84
Closest atoms and distances in Å follow each position.
Positions (direct):
Cu  0.9973  0.9973  0.9973  9 Cu 2.53-2.71, 3 Rh 2.64
Cu  0.2536  0.2536  0.2536  9 Cu 2.53-2.71, 3 Pt 2.67
Pt  0.5031  0.5031  0.5031  3 Cu 2.67, 6 Pt 2.71, 3 Rh 2.81
Rh  0.7461  0.7461  0.7461  3 Cu 2.64, 6 Rh 2.71, 3 Pt 2.81

---

# 9
Density functional theory data (PBE) for an optimized crystal structure of CuPtRh2.

Values from the calculation:
Polymorph energy (0 for the lowest one) ... 0.022 eV/atom
M_tot ... 0.000 μB/f.u.
Final energy ... -6.23 eV per atom

Lattice parameters (Å, degrees): 4.6897 4.6897 4.6897 131.66 131.66 70.77
Closest atoms and distances in Å follow each position.
Positions (direct):
Rh  0.0000  0.0000  0.0000  4 Cu 2.71, 4 Pt 2.71, 4 Rh 2.72
Rh  0.5000  0.5000  0.0000  4 Pt 2.71, 4 Cu 2.71, 4 Rh 2.72
Cu  0.2500  0.7500  0.5000  8 Rh 2.71, 4 Pt 2.72
Pt  0.7500  0.2500  0.5000  8 Rh 2.71, 4 Cu 2.72

---

# 10
Density functional theory data (PBE) for an optimized crystal structure of Cu8Pt2Rh.

Values from the calculation:
M_tot ... 0.000 μB/f.u.
Final energy ... -4.81 eV per atom

Lattice parameters (Å, degrees): 3.7830 5.8489 6.9333 104.50 105.83 90.00
Closest atoms and distances in Å follow each position.
Positions (direct):
Rh  0.5000  0.0000  0.0000  12 Cu 2.59-2.64
Pt  0.2249  0.6441  0.4498  10 Cu 2.59-2.71, 2 Pt 2.73
Pt  0.7751  0.3559  0.5501  10 Cu 2.59-2.71, 2 Pt 2.73
Cu  0.5880  0.4569  0.1760  8 Cu 2.53-2.69, 1 Rh 2.62, 3 Pt 2.66-2.71
Cu  0.3202  0.0905  0.6405  1 Rh 2.59, 3 Pt 2.59-2.62, 8 Cu 2.61-2.68
Cu  0.1357  0.1761  0.2714  7 Cu 2.58-2.69, 2 Rh 2.64, 3 Pt 2.67-2.69
Cu  0.0423  0.7259  0.0846  9 Cu 2.58-2.66, 1 Pt 2.60, 2 Rh 2.63
Cu  0.8643  0.8239  0.7286  7 Cu 2.58-2.69, 2 Rh 2.64, 3 Pt 2.67-2.69
Cu  0.6798  0.9095  0.3595  1 Rh 2.59, 3 Pt 2.59-2.62, 8 Cu 2.61-2.68
Cu  0.4120  0.5431  0.8240  8 Cu 2.53-2.69, 1 Rh 2.62, 3 Pt 2.66-2.71
Cu  0.9577  0.2741  0.9154  9 Cu 2.58-2.66, 1 Pt 2.60, 2 Rh 2.63

---

# 11
Density functional theory data (PBE) for an optimized crystal structure of CuPtRh.

Values from the calculation:
Polymorph energy (0 for the lowest one) ... 0.123 eV/atom
M_tot ... 0.000 μB/f.u.
Final energy ... -5.76 eV per atom

Lattice parameters (Å, degrees): 7.2261 6.9772 2.6881 84.35 73.92 21.73
Closest atoms and distances in Å follow each position.
Positions (direct):
Cu  0.9980  0.9980  0.0020  2 Rh 2.56, 2 Pt 2.63, 6 Cu 2.69-2.72
Pt  0.6626  0.6626  0.3374  2 Cu 2.63, 6 Pt 2.69-2.72, 2 Rh 2.77
Rh  0.3394  0.3394  0.6606  2 Cu 2.56, 6 Rh 2.69-2.72, 2 Pt 2.77

---

# 12
Density functional theory data (PBE) for an optimized crystal structure of CuPt3Rh4.

Values from the calculation:
Polymorph energy (0 for the lowest one) ... 0.000 eV/atom
M_tot ... 0.000 μB/f.u.
Final energy ... -6.47 eV per atom

Lattice parameters (Å, degrees): 3.8914 4.7327 7.2532 89.67 74.44 65.73
Closest atoms and distances in Å follow each position.
Positions (direct):
Rh  0.8777  0.8740  0.3706  1 Cu 2.71, 7 Pt 2.72-2.80, 4 Rh 2.75-2.79
Rh  0.1223  0.1260  0.6294  1 Cu 2.71, 7 Pt 2.72-2.80, 4 Rh 2.75-2.79
Rh  0.3706  0.3807  0.8780  5 Pt 2.69-2.75, 3 Cu 2.71-2.75, 4 Rh 2.71-2.75
Rh  0.6294  0.6193  0.1220  5 Pt 2.69-2.75, 3 Cu 2.71-2.75, 4 Rh 2.71-2.75
Pt  0.7429  0.7581  0.7561  8 Rh 2.69-2.80, 2 Cu 2.71, 2 Pt 2.78
Pt  0.2571  0.2419  0.2439  8 Rh 2.69-2.80, 2 Cu 2.71, 2 Pt 2.78
Pt  0.5000  0.5000  0.5000  8 Rh 2.74-2.75, 4 Pt 2.78
Cu  0.0000  0.0000  0.0000  8 Rh 2.71-2.75, 4 Pt 2.71